## CdGeN2 (PBEsol)

Data for a relaxed structure of CdGeN2.

Calculated values
Its space group is I-42d (122). Its calculated volume is 104.07 Å³ per cell. The value obtained for the formation energy (no corrections) is -0.100 eV/atom. The total energy is -5.897 eV/atom. For the magnetization, the calculation gives 0.000 μB per formula unit.

Lattice parameters (Å, degrees): 4.897 5.552 4.897 63.83 90.00 116.17
Sites, in units of the cell vectors:
Ge1 0.500 0.000 0.500
Ge2 0.250 0.500 0.250
N1 0.192 0.750 0.875
N2 0.558 0.750 0.375
N3 0.375 0.250 0.192
N4 0.875 0.250 0.558
Cd1 0.750 0.500 0.750
Cd2 0.000 0.000 0.000